# 1
{"formula": "ErAgPb", "functional": "PBE-GGA", "state": "relaxed", "space_group": "No. 107", "cell": [[-1.661, 1.661, 7.921], [1.661, -1.661, 7.921], [1.661, 1.661, -7.921]], "species": ["Er", "Ag", "Pb"], "fractional_positions": [[0.000, 0.000, 0.000], [0.378, 0.378, 0.000], [0.197, 0.197, 0.000]]}

# 2
{"formula": "NaCa2CuNi", "functional": "PBE-GGA", "state": "relaxed", "space_group": "No. 123", "cell": [[5.279, 0.000, 0.000], [0.000, 5.279, 0.000], [0.000, 0.000, 5.121]], "species": ["Na", "Ca", "Ca", "Cu", "Ni"], "fractional_positions": [[0.000, 0.000, 0.000], [0.000, 0.500, 0.500], [0.500, 0.000, 0.500], [0.500, 0.500, 0.000], [0.000, 0.000, 0.500]]}

no.,raw total energy (eV for the cell shown),M_tot (μB/f.u.),D(E_F) (states/eV/atom)
1,-10.65,0.03,0.8883
2,-13.52,0.00,0.4586